A relaxed structure of Cs2Pa2Se7. Source: Alexandria via LeMat-Bulk, functional PBE-GGA.

Summary:
Total energy ... -116.141 eV/cell
Uncorrected formation energy ... -1.180 eV per atom

a = 8.833 Å, b = 10.097 Å, c = 8.787 Å
α = 90.00°, β = 90.00°, γ = 90.00°
Space group Cmmm (No. 65)
Unique sites:
Cs 0.229 0.000 0.000 x4
Pa 0.000 0.274 0.500 x4
Se 0.000 0.000 0.500 x2
Se 0.000 0.500 0.303 x4
Se 0.250 0.250 0.297 x8

A relaxed structure of Tb3Ho3ScTe8. Source: Alexandria via LeMat-Bulk, functional PBE-GGA.

Summary:
Total energy ... -237.143 eV/cell
Uncorrected formation energy ... -1.331 eV per atom

a = 8.6567 Å, b = 8.6567 Å, c = 21.2263 Å
α = 90.00°, β = 90.00°, γ = 120.00°
Space group R-3m (No. 166, hexagonal axes)
Unique sites:
Tb 0.0000 0.5000 0.0000 x9
Ho 0.0000 0.5000 0.5000 x9
Sc 0.0000 0.0000 0.5000 x3
Te 0.0000 0.0000 0.2490 x6
Te 0.0012 0.5006 0.2487 x18

A relaxed structure of BeNbAg. Source: Alexandria via LeMat-Bulk, functional PBE-GGA.

Summary:
Distance to the lowest polymorph of the same formula ... 1.081 eV/atom
Energy of formation from the pure elements ... 1064 meV/atom
Total energy ... -53.817 eV/cell

a = 6.068 Å, b = 6.068 Å, c = 6.068 Å
α = 90.00°, β = 90.00°, γ = 90.00°
Space group F-43m (No. 216)
Unique sites:
Be 0.000 0.000 0.000 x4
Nb 0.250 0.250 0.750 x4
Ag 0.000 0.000 0.500 x4

A relaxed structure of Li3SiPd. Source: Alexandria via LeMat-Bulk, functional PBE-GGA.

Summary:
Distance to the lowest polymorph of the same formula ... 0.029 eV/atom
Total energy ... -35.649 eV/cell
Uncorrected formation energy ... -0.293 eV per atom

a = 15.680 Å, b = 3.410 Å, c = 2.965 Å
α = 90.00°, β = 100.61°, γ = 90.00°
Space group Cm (No. 8)
Unique sites:
Li 0.000 0.000 0.000 x2
Li 0.111 0.500 0.612 x2
Li 0.228 0.000 0.230 x2
Si 0.403 0.000 0.403 x2
Pd 0.329 0.500 0.831 x2